Record 1
The following is a DFT calculation (PBE) of an optimized crystal structure of PrIn3S6.

```
data_PrIn3S6
_cell_length_a 3.9363
_cell_length_b 11.3795
_cell_length_c 11.0368
_cell_angle_alpha 112.38
_cell_angle_beta 90.00
_cell_angle_gamma 90.00
_symmetry_space_group_name_H-M 'P 1'
_symmetry_Int_Tables_number 1
loop_
_symmetry_equiv_pos_as_xyz
'x,y,z'
loop_
_atom_site_label
_atom_site_type_symbol
_atom_site_fract_x
_atom_site_fract_y
_atom_site_fract_z
S1 S 0.7500 0.7963 0.7391
S2 S 0.2500 0.2632 0.7420
S3 S 0.2500 0.5480 0.3967
S4 S 0.7500 0.3950 0.0597
S5 S 0.7500 0.9265 0.0838
S6 S 0.2500 0.8944 0.5358
S7 S 0.2500 0.2037 0.2609
S8 S 0.7500 0.7368 0.2580
S9 S 0.2500 0.6050 0.9403
S10 S 0.7500 0.4520 0.6033
S11 S 0.7500 0.1056 0.4642
S12 S 0.2500 0.0735 0.9162
In1 In 0.7500 0.4448 0.8333
In2 In 0.7500 0.7030 0.4809
In3 In 0.2500 0.8303 0.9004
In4 In 0.7500 0.1697 0.0996
In5 In 0.2500 0.5552 0.1667
In6 In 0.2500 0.2970 0.5191
Pr1 Pr 0.7500 0.0558 0.7069
Pr2 Pr 0.2500 0.9442 0.2931
```

***

Record 2
The following is a DFT calculation (PBE) of an optimized crystal structure of GdZnPO.

```
data_GdZnPO
_cell_length_a 10.4684
_cell_length_b 10.4684
_cell_length_c 10.4684
_cell_angle_alpha 21.68
_cell_angle_beta 21.68
_cell_angle_gamma 21.68
_symmetry_space_group_name_H-M 'P 1'
_symmetry_Int_Tables_number 1
loop_
_symmetry_equiv_pos_as_xyz
'x,y,z'
loop_
_atom_site_label
_atom_site_type_symbol
_atom_site_fract_x
_atom_site_fract_y
_atom_site_fract_z
P1 P 0.1125 0.1125 0.1125
P2 P 0.8875 0.8875 0.8875
O1 O 0.3052 0.3052 0.3052
O2 O 0.6948 0.6948 0.6948
Gd1 Gd 0.3804 0.3804 0.3804
Gd2 Gd 0.6196 0.6196 0.6196
Zn1 Zn 0.1963 0.1963 0.1963
Zn2 Zn 0.8037 0.8037 0.8037
```

***

Number 1: spin magnetization 0.00 μB/cell, E -0.17184 Ha/atom. Number 2: spin magnetization 14.00 μB/cell, E -0.30436 Ha/atom.